# Pu2ZnHg

Pu2ZnHg after structural relaxation (GGA-PBE, Alexandria via LeMat-Bulk).

Cell: 3.904 3.904 6.385 Å, 90.00 90.00 90.00°
Space group P4/mmm (No. 123)
Unique sites:
Pu (0.000, 0.000, 0.240) [2 per cell]
Zn (0.500, 0.500, 0.000) [1 per cell]
Hg (0.500, 0.500, 0.500) [1 per cell]

The density of states at the Fermi level is 13.69 states/eV/cell. As for the relative energy among the computed polymorphs: 0.0 kJ/mol of formula units. The calculation puts the volume at 97.3 Å³ per cell. The formation energy comes out at -0.047 eV per atom. For the total magnetization, the calculation gives 11.8 μB/cell.